[1]
Computed, not measured: a geometry-optimized PuHgBi2 structure at the PBE level of DFT.

The calculation puts the theoretical density at 12.893 g cm⁻³. As for the energy of formation: -23.5 kJ/mol of atoms. The calculation puts the magnetic moment at 5.45 μB/f.u. As for the density of states at the Fermi level: 2.72 states/eV per atom. As for the volume: 27.8 A^3/atom.

The structure belongs to space group P4/mmm (No. 123); the cell edges are 4.9492, 4.9492 and 4.5354 Å and the angles 90.00°, 90.00° and 90.00°. The inequivalent atoms are Pu at (0.0000, 0.0000, 0.0000), Hg at (0.5000, 0.5000, 0.0000) and Bi at (0.0000, 0.5000, 0.5000).

***

[2]
Computed, not measured: a geometry-optimized Ge2Te2Pd5 structure at the PBE level of DFT.

The calculation puts the theoretical density at 8.597 g cm⁻³. The calculation puts the magnetic moment at 0.00 μB/f.u. As for the density of states at the Fermi level: 0.43 states/eV per atom. As for the volume: 20.0 A^3/atom. The formation energy (no corrections) is -2.51 eV/f.u.

The structure belongs to space group C2/m (No. 12); the cell edges are 11.7916, 5.1247 and 7.2734 Å and the angles 90.00°, 124.95° and 90.00°. The inequivalent atoms are Ge at (0.1449, 0.0000, 0.4168), Te at (0.1190, 0.5000, 0.8434), Pd at (0.0000, 0.0000, 0.0000), Pd at (0.1162, 0.0000, 0.7394) and Pd at (0.1273, 0.5000, 0.2212).

***

[3]
Computed, not measured: a geometry-optimized Zr2SbCl structure at the PBE level of DFT.

The calculation puts the theoretical density at 6.332 g cm⁻³. The calculation puts the magnetic moment at 0.00 μB/f.u. As for the density of states at the Fermi level: 0.85 states/eV per atom. As for the volume: 22.3 A^3/atom. The formation energy (no corrections) is -2.44 eV/f.u.

The structure belongs to space group Pm (No. 6); the cell edges are 3.1691, 5.0177 and 5.8194 Å and the angles 90.00°, 105.72° and 90.00°. The inequivalent atoms are Zr at (0.0000, 0.0000, 0.0000), Zr at (0.3390, 0.5000, 0.6798), Sb at (0.7333, 0.0000, 0.4726) and Cl at (0.0270, 0.5000, 0.0573).